The following is a PBE calculation of DyErNF2 after structural relaxation, from OQMD via LeMat-Bulk.

Geometry as CIF:
```
data_DyErNF2
_chemical_formula_sum 'Dy1 Er1 N1 F2'
_cell_length_a 3.4408
_cell_length_b 3.4408
_cell_length_c 6.6349
_cell_angle_alpha 90.00
_cell_angle_beta 90.00
_cell_angle_gamma 120.00
_symmetry_space_group_name_H-M 'P 3 m 1'
_symmetry_Int_Tables_number 156
_symmetry_space_group_name_Hall 'P 3 -2"'
loop_
_atom_site_label
_atom_site_fract_x
_atom_site_fract_y
_atom_site_fract_z
Dy1 0.0000 0.0000 0.0000
Er1 0.6667 0.3333 0.6054
N1 0.3333 0.6667 0.7972
F1 0.0000 0.0000 0.4295
F2 0.6667 0.3333 0.1856
```

Values from the calculation:
calculated total energy: -7.0628 eV/atom

The following is a PBE calculation of ScCuPb2 after structural relaxation, from OQMD via LeMat-Bulk.

Geometry as CIF:
```
data_ScCuPb2
_chemical_formula_sum 'Sc4 Cu4 Pb8'
_cell_length_a 7.2892
_cell_length_b 7.2892
_cell_length_c 7.2892
_cell_angle_alpha 90.00
_cell_angle_beta 90.00
_cell_angle_gamma 90.00
_symmetry_space_group_name_H-M 'F -4 3 m'
_symmetry_Int_Tables_number 216
_symmetry_space_group_name_Hall 'F -4 2 3'
loop_
_atom_site_label
_atom_site_fract_x
_atom_site_fract_y
_atom_site_fract_z
Sc1 0.0000 0.0000 0.0000
Cu1 0.2500 0.2500 0.2500
Pb1 0.0000 0.0000 0.5000
Pb2 0.2500 0.2500 0.7500
```

Values from the calculation:
calculated total energy: -4.2204 eV/atom

The following is a PBE calculation of HoTmPO after structural relaxation, from OQMD via LeMat-Bulk.

Geometry as CIF:
```
data_HoTmPO
_chemical_formula_sum 'Ho2 Tm2 P2 O2'
_cell_length_a 4.2700
_cell_length_b 4.2700
_cell_length_c 8.4296
_cell_angle_alpha 90.00
_cell_angle_beta 90.00
_cell_angle_gamma 90.00
_symmetry_space_group_name_H-M 'P 4/n m m'
_symmetry_Int_Tables_number 129
loop_
_symmetry_equiv_pos_as_xyz
'x,y,z'
'-x,-y,-z'
'-y+1/2,x,z'
'y+1/2,-x,-z'
'-x+1/2,-y+1/2,z'
'x+1/2,y+1/2,-z'
'y,-x+1/2,z'
'-y,x+1/2,-z'
'x+1/2,-y,-z'
'-x+1/2,y,z'
'-y,-x,-z'
'y,x,z'
'-x,y+1/2,-z'
'x,-y+1/2,z'
'y+1/2,x+1/2,-z'
'-y+1/2,-x+1/2,z'
loop_
_atom_site_label
_atom_site_fract_x
_atom_site_fract_y
_atom_site_fract_z
Ho1 0.2500 0.2500 0.1041
Tm1 0.2500 0.7500 0.5000
P1 0.2500 0.2500 0.6949
O1 0.2500 0.7500 0.0000
```

Values from the calculation:
calculated total energy: -6.7925 eV/atom

The following is a PBE calculation of LaAl2Ni after structural relaxation, from OQMD via LeMat-Bulk.

Geometry as CIF:
```
data_LaAl2Ni
_chemical_formula_sum 'La4 Al8 Ni4'
_cell_length_a 4.2998
_cell_length_b 17.8713
_cell_length_c 4.2351
_cell_angle_alpha 90.00
_cell_angle_beta 90.00
_cell_angle_gamma 90.00
_symmetry_space_group_name_H-M 'C m m m'
_symmetry_Int_Tables_number 65
_symmetry_space_group_name_Hall '-C 2 2'
loop_
_atom_site_label
_atom_site_fract_x
_atom_site_fract_y
_atom_site_fract_z
La1 0.0000 0.1403 0.0000
Al1 0.0000 0.0000 0.5000
Al2 0.0000 0.2923 0.5000
Al3 0.0000 0.5000 0.0000
Ni1 0.0000 0.4285 0.5000
```

Values from the calculation:
calculated total energy: -5.0325 eV/atom